Version 1
Compound: TaSnTe3
Source: Alexandria
Functional: PBE-GGA
Structure: optimized geometry

Properties
Its density of states at the Fermi level is 1.34 states/eV/atom. As for the volume: 32.2 Å³ per atom. Its crystal system is cubic.

Lattice parameters (Å, degrees): 5.4392 5.4392 5.4392 90.00 90.00 90.00
Closest atoms and distances in Å follow each position.
Positions (direct):
Ta 0.0000 0.0000 0.0000  6 Te 2.72
Sn 0.5000 0.5000 0.5000  12 Te 3.85
Te 0.5000 0.0000 0.0000  2 Ta 2.72
Te 0.0000 0.5000 0.0000  2 Ta 2.72
Te 0.0000 0.0000 0.5000  2 Ta 2.72

---

Version 2
Compound: TaSnTe3
Source: Alexandria
Functional: PBE-GGA
Structure: optimized geometry

Properties
Its density of states at the Fermi level is 0.83 states/eV/atom. As for the volume: 34.2 Å³ per atom. Its crystal system is cubic.

Lattice parameters (Å, degrees): 5.5480 5.5480 5.5480 90.00 90.00 90.00
Closest atoms and distances in Å follow each position.
Positions (direct):
Te 0.0000 0.0000 0.5000  2 Sn 2.77
Te 0.5000 0.0000 0.0000  2 Sn 2.77
Te 0.0000 0.5000 0.0000  2 Sn 2.77
Ta 0.5000 0.5000 0.5000  12 Te 3.92
Sn 0.0000 0.0000 0.0000  6 Te 2.77

---

Version 3
Compound: TaSnTe3
Source: Alexandria
Functional: PBE-GGA
Structure: optimized geometry

Properties
Its density of states at the Fermi level is 0.83 states/eV/atom. As for the volume: 30.0 Å³ per atom. Its crystal system is hexagonal.

Lattice parameters (Å, degrees): 5.8333 7.7038 7.7048 120.03 89.98 90.01
Closest atoms and distances in Å follow each position.
Positions (direct):
Sn 0.7497 0.6670 0.3336  12 Te 3.56-3.86
Sn 0.2503 0.3330 0.6666  12 Te 3.56-3.86
Te 0.7499 0.1800 0.3601  2 Ta 2.81
Te 0.2501 0.8200 0.6399  2 Ta 2.81
Te 0.7500 0.6399 0.8199  2 Ta 2.81
Te 0.2500 0.3601 0.1800  2 Ta 2.81
Te 0.7501 0.1799 0.8200  2 Ta 2.81
Te 0.2499 0.8200 0.1800  2 Ta 2.81
Ta 0.0000 0.0000 0.0000  6 Te 2.81, 2 Ta 2.92
Ta 0.5000 0.0000 0.0000  6 Te 2.81, 2 Ta 2.92

---

Which structure wins on stability? version 3 wins.